Entry from OQMD: a relaxed WSe2S2Br crystal (PBE).

Cell lengths 6.2485, 7.9358, 8.1571 Å; angles 119.03, 106.21, 96.14 degrees
Fractional coordinates of all 12 atoms:
Se  0.1284  0.3149  0.2352
Se  0.8716  0.6851  0.7648
Se  0.0330  0.8398  0.1493
Se  0.9670  0.1602  0.8507
S  0.6053  0.0623  0.2671
S  0.3947  0.9377  0.7329
S  0.4735  0.7743  0.0122
S  0.5265  0.2257  0.9877
W  0.2273  0.0000  0.9997
W  0.7727  0.0000  0.0003
Br  0.2687  0.3650  0.5998
Br  0.7313  0.6350  0.4002

Output
- DFT total energy (eV/atom) = -5.34
- energy above the most stable polymorph in this dataset (meV per atom) = 18.0
- SG = No. 2